AlSiAu2: single point on PBEsol structure, meta-GGA SCAN.

The space group is C2/m (No. 12) and the conventional cell measures 8.055, 3.147 and 5.285 Å, with angles of 90.00, 102.66 and 90.00 degrees. The inequivalent atoms are Al at (0.000, 0.000, 0.000), Si at (0.000, 0.500, 0.500) and Au at (0.249, 0.500, 0.252).

The calculation puts the volume at 16.34 Å³ per atom. The crystal system is monoclinic. The magnetization is 0.00 μB per formula unit. Its offset from the most stable computed form is 0 meV/atom. For the total energy, the calculation gives -1.4410 Ha/atom. The value obtained for the uncorrected formation energy is -18.49 kJ per mole of atoms.